No. 1
This record from OQMD via LeMat-Bulk describes a geometry-optimized LaCdInSe3 structure. The functional is PBE.

Cell and atoms, written as CIF:
```
data_LaCdInSe3
_chemical_formula_sum 'La4 Cd4 In4 Se12'
_cell_length_a 11.6189
_cell_length_b 4.4163
_cell_length_c 14.1491
_cell_angle_alpha 90.00
_cell_angle_beta 90.00
_cell_angle_gamma 90.00
_space_group_name_H-M_alt 'P 1'
_space_group_IT_number 1
loop_
_space_group_symop_operation_xyz
'x,y,z'
loop_
_atom_site_label
_atom_site_type_symbol
_atom_site_fract_x
_atom_site_fract_y
_atom_site_fract_z
_atom_site_occupancy
Cd1 Cd 0.7615 0.7500 0.2135 1
Cd2 Cd 0.2615 0.7500 0.2865 1
Cd3 Cd 0.7385 0.2500 0.7135 1
Cd4 Cd 0.2385 0.2500 0.7865 1
In1 In 0.2019 0.7500 0.0016 1
In2 In 0.7019 0.7500 0.4984 1
In3 In 0.2981 0.2500 0.5016 1
In4 In 0.7981 0.2500 0.9984 1
La1 La 0.5123 0.2500 0.2329 1
La2 La 0.0123 0.2500 0.2671 1
La3 La 0.9877 0.7500 0.7329 1
La4 La 0.4877 0.7500 0.7671 1
Se1 Se 0.5814 0.7500 0.1021 1
Se2 Se 0.9618 0.7500 0.1236 1
Se3 Se 0.2559 0.2500 0.1729 1
Se4 Se 0.7559 0.2500 0.3271 1
Se5 Se 0.4618 0.7500 0.3764 1
Se6 Se 0.0814 0.7500 0.3979 1
Se7 Se 0.9186 0.2500 0.6021 1
Se8 Se 0.5382 0.2500 0.6236 1
Se9 Se 0.2441 0.7500 0.6729 1
Se10 Se 0.7441 0.7500 0.8271 1
Se11 Se 0.0382 0.2500 0.8764 1
Se12 Se 0.4186 0.2500 0.8979 1
```

The total DFT energy (no corrections) is -4.24 eV per atom. The value obtained for the volume is 30.3 Å³/atom. For the density, the calculation gives 5.52 g/cm3. For the size of the total moment, the calculation gives 0.002 μB per formula unit. Its space group is Pnma, No. 62.

***

No. 2
This record from OQMD via LeMat-Bulk describes a geometry-optimized LiTmAsO structure. The functional is PBE.

Cell and atoms, written as CIF:
```
data_LiTmAsO
_chemical_formula_sum 'Li2 Tm2 As2 O2'
_cell_length_a 3.7355
_cell_length_b 3.7355
_cell_length_c 9.7171
_cell_angle_alpha 90.00
_cell_angle_beta 90.00
_cell_angle_gamma 90.00
_space_group_name_H-M_alt 'P 1'
_space_group_IT_number 1
loop_
_space_group_symop_operation_xyz
'x,y,z'
loop_
_atom_site_label
_atom_site_type_symbol
_atom_site_fract_x
_atom_site_fract_y
_atom_site_fract_z
_atom_site_occupancy
As1 As 0.7500 0.7500 0.3106 1
As2 As 0.2500 0.2500 0.6894 1
Li1 Li 0.7500 0.2500 0.5000 1
Li2 Li 0.2500 0.7500 0.5000 1
O1 O 0.7500 0.2500 0.0000 1
O2 O 0.2500 0.7500 0.0000 1
Tm1 Tm 0.2500 0.2500 0.1155 1
Tm2 Tm 0.7500 0.7500 0.8845 1
```

The total DFT energy (no corrections) is -5.90 eV per atom. The value obtained for the volume is 16.9 Å³/atom. For the density, the calculation gives 6.53 g/cm3. For the size of the total moment, the calculation gives 0.003 μB per formula unit. Its space group is P4/nmm, No. 129.

***

No. 3
This record from OQMD via LeMat-Bulk describes a geometry-optimized SrMgBAu structure. The functional is PBE.

Cell and atoms, written as CIF:
```
data_SrMgBAu
_chemical_formula_sum 'Sr1 Mg1 B1 Au1'
_cell_length_a 4.8211
_cell_length_b 4.8211
_cell_length_c 4.8211
_cell_angle_alpha 60.00
_cell_angle_beta 60.00
_cell_angle_gamma 60.00
_space_group_name_H-M_alt 'P 1'
_space_group_IT_number 1
loop_
_space_group_symop_operation_xyz
'x,y,z'
loop_
_atom_site_label
_atom_site_type_symbol
_atom_site_fract_x
_atom_site_fract_y
_atom_site_fract_z
_atom_site_occupancy
Au1 Au 0.7500 0.7500 0.7500 1
B1 B 0.5000 0.5000 0.5000 1
Mg1 Mg 0.2500 0.2500 0.2500 1
Sr1 Sr 0.0000 0.0000 0.0000 1
```

The total DFT energy (no corrections) is -2.72 eV per atom. The value obtained for the volume is 19.8 Å³/atom. For the density, the calculation gives 6.70 g/cm3. Its space group is F-43m, No. 216.

***

No. 4
This record from OQMD via LeMat-Bulk describes a geometry-optimized Pr5NdSe6 structure. The functional is PBE.

Cell and atoms, written as CIF:
```
data_Pr5NdSe6
_chemical_formula_sum 'Pr5 Nd1 Se6'
_cell_length_a 7.3800
_cell_length_b 7.3800
_cell_length_c 7.3571
_cell_angle_alpha 99.64
_cell_angle_beta 99.64
_cell_angle_gamma 120.15
_space_group_name_H-M_alt 'P 1'
_space_group_IT_number 1
loop_
_space_group_symop_operation_xyz
'x,y,z'
loop_
_atom_site_label
_atom_site_type_symbol
_atom_site_fract_x
_atom_site_fract_y
_atom_site_fract_z
_atom_site_occupancy
Nd1 Nd 0.0000 0.0000 0.0000 1
Pr1 Pr 0.6669 0.3331 0.0000 1
Pr2 Pr 0.3331 0.6669 0.0000 1
Pr3 Pr 0.8323 0.1677 0.5000 1
Pr4 Pr 0.5000 0.5000 0.5000 1
Pr5 Pr 0.1677 0.8323 0.5000 1
Se1 Se 0.4145 0.0830 0.2488 1
Se2 Se 0.0830 0.4145 0.2488 1
Se3 Se 0.7515 0.7515 0.2494 1
Se4 Se 0.2485 0.2485 0.7506 1
Se5 Se 0.9170 0.5855 0.7512 1
Se6 Se 0.5855 0.9170 0.7512 1
```

The total DFT energy (no corrections) is -5.97 eV per atom. The value obtained for the volume is 27.2 Å³/atom. For the density, the calculation gives 6.73 g/cm3. For the size of the total moment, the calculation gives 0.011 μB per formula unit. Its space group is C2/m, No. 12.

***

No. 5
This record from OQMD via LeMat-Bulk describes a geometry-optimized Be4ZnNi5 structure. The functional is PBE.

Cell and atoms, written as CIF:
```
data_Be4ZnNi5
_chemical_formula_sum 'Be4 Zn1 Ni5'
_cell_length_a 2.5928
_cell_length_b 2.5928
_cell_length_c 14.1014
_cell_angle_alpha 90.00
_cell_angle_beta 90.00
_cell_angle_gamma 90.00
_space_group_name_H-M_alt 'P 1'
_space_group_IT_number 1
loop_
_space_group_symop_operation_xyz
'x,y,z'
loop_
_atom_site_label
_atom_site_type_symbol
_atom_site_fract_x
_atom_site_fract_y
_atom_site_fract_z
_atom_site_occupancy
Be1 Be 0.0000 0.0000 0.2187 1
Be2 Be 0.0000 0.0000 0.4065 1
Be3 Be 0.0000 0.0000 0.5935 1
Be4 Be 0.0000 0.0000 0.7813 1
Ni1 Ni 0.5000 0.5000 0.1272 1
Ni2 Ni 0.5000 0.5000 0.3141 1
Ni3 Ni 0.5000 0.5000 0.5000 1
Ni4 Ni 0.5000 0.5000 0.6859 1
Ni5 Ni 0.5000 0.5000 0.8728 1
Zn1 Zn 0.0000 0.0000 0.0000 1
```

The total DFT energy (no corrections) is -4.84 eV per atom. The value obtained for the volume is 9.5 Å³/atom. For the density, the calculation gives 6.92 g/cm3. For the size of the total moment, the calculation gives 0.000 μB per formula unit. Its space group is P4/mmm, No. 123.

***

No. 6
This record from OQMD via LeMat-Bulk describes a geometry-optimized As5W3Au structure. The functional is PBE.

Cell and atoms, written as CIF:
```
data_As5W3Au
_chemical_formula_sum 'As5 W3 Au1'
_cell_length_a 5.3646
_cell_length_b 5.3646
_cell_length_c 7.5902
_cell_angle_alpha 90.00
_cell_angle_beta 90.00
_cell_angle_gamma 120.00
_space_group_name_H-M_alt 'P 1'
_space_group_IT_number 1
loop_
_space_group_symop_operation_xyz
'x,y,z'
loop_
_atom_site_label
_atom_site_type_symbol
_atom_site_fract_x
_atom_site_fract_y
_atom_site_fract_z
_atom_site_occupancy
As1 As 0.6667 0.3333 0.2135 1
As2 As 0.3333 0.6667 0.2135 1
As3 As 0.0000 0.0000 0.5000 1
As4 As 0.6667 0.3333 0.7865 1
As5 As 0.3333 0.6667 0.7865 1
Au1 Au 0.0000 0.0000 0.0000 1
W1 W 0.5000 0.0000 0.5000 1
W2 W 0.0000 0.5000 0.5000 1
W3 W 0.5000 0.5000 0.5000 1
```

The total DFT energy (no corrections) is -6.94 eV per atom. The value obtained for the volume is 21.0 Å³/atom. For the density, the calculation gives 9.86 g/cm3. For the size of the total moment, the calculation gives 0.009 μB per formula unit. Its space group is P6/mmm, No. 191.

***

No. 7
This record from OQMD via LeMat-Bulk describes a geometry-optimized InCu2As structure. The functional is PBE.

Cell and atoms, written as CIF:
```
data_InCu2As
_chemical_formula_sum 'In4 Cu8 As4'
_cell_length_a 6.4282
_cell_length_b 6.4282
_cell_length_c 6.4282
_cell_angle_alpha 90.00
_cell_angle_beta 90.00
_cell_angle_gamma 90.00
_space_group_name_H-M_alt 'P 1'
_space_group_IT_number 1
loop_
_space_group_symop_operation_xyz
'x,y,z'
loop_
_atom_site_label
_atom_site_type_symbol
_atom_site_fract_x
_atom_site_fract_y
_atom_site_fract_z
_atom_site_occupancy
As1 As 0.0000 0.0000 0.0000 1
As2 As 0.5000 0.0000 0.0000 1
As3 As 0.0000 0.5000 0.0000 1
As4 As 0.0000 0.0000 0.5000 1
Cu1 Cu 0.2343 0.2343 0.2343 1
Cu2 Cu 0.7657 0.2343 0.2343 1
Cu3 Cu 0.2343 0.7657 0.2343 1
Cu4 Cu 0.7657 0.7657 0.2343 1
Cu5 Cu 0.2343 0.2343 0.7657 1
Cu6 Cu 0.7657 0.2343 0.7657 1
Cu7 Cu 0.2343 0.7657 0.7657 1
Cu8 Cu 0.7657 0.7657 0.7657 1
In1 In 0.5000 0.5000 0.0000 1
In2 In 0.5000 0.0000 0.5000 1
In3 In 0.0000 0.5000 0.5000 1
In4 In 0.5000 0.5000 0.5000 1
```

The total DFT energy (no corrections) is -3.51 eV per atom. The value obtained for the volume is 16.6 Å³/atom. For the density, the calculation gives 7.92 g/cm3. Its space group is Pm-3m, No. 221.

***

No. 8
This record from OQMD via LeMat-Bulk describes a geometry-optimized PmTmCu structure. The functional is PBE.

Cell and atoms, written as CIF:
```
data_PmTmCu
_chemical_formula_sum 'Pm1 Tm1 Cu1'
_cell_length_a 4.7791
_cell_length_b 4.7791
_cell_length_c 4.7791
_cell_angle_alpha 60.00
_cell_angle_beta 60.00
_cell_angle_gamma 60.00
_space_group_name_H-M_alt 'P 1'
_space_group_IT_number 1
loop_
_space_group_symop_operation_xyz
'x,y,z'
loop_
_atom_site_label
_atom_site_type_symbol
_atom_site_fract_x
_atom_site_fract_y
_atom_site_fract_z
_atom_site_occupancy
Cu1 Cu 0.2500 0.2500 0.2500 1
Pm1 Pm 0.7500 0.7500 0.7500 1
Tm1 Tm 0.0000 0.0000 0.0000 1
```

The total DFT energy (no corrections) is -3.71 eV per atom. The value obtained for the volume is 25.7 Å³/atom. For the density, the calculation gives 8.12 g/cm3. The value obtained for the energy of formation is 0.597 eV per atom. For the size of the total moment, the calculation gives 0.001 μB per formula unit. Its space group is F-43m, No. 216.